Material: Nd5ErPb5
Method: DFT, GGA-PBE
State: relaxed

Structure (POSCAR):
```
Nd5ErPb5
1.0
-2.6485 -5.5905 -0.8197
3.6722 2.8684 -7.6752
5.5822 -3.1763 3.6264
Nd Er Pb
5 1 5
direct
0.6760 0.3520 0.2913
0.6580 0.3160 0.7852
0.0000 0.0000 0.5000
0.3420 0.6840 0.2148
0.3240 0.6480 0.7087
0.0000 0.0000 0.0000
0.8353 0.6706 0.1070
0.8377 0.6754 0.6330
0.5000 0.0000 0.0000
0.1623 0.3246 0.3670
0.1647 0.3294 0.8930
```

Summary:
SG: C2/m, No. 12
DFT formation energy in eV per atom: -0.326